Entry 1:
This record from the Open Quantum Materials Database describes a relaxed structure of CsTe2OsAuSe. The functional is PBE-GGA.

Lattice parameters (Å, degrees): 8.807 8.807 10.415 90.00 90.00 153.19
Fractional positions:
Os (0.000, 0.000, 0.500)
Os (0.000, 0.000, 0.000)
Te (0.603, 0.397, 0.511)
Te (0.397, 0.603, 0.489)
Te (0.397, 0.603, 0.011)
Te (0.603, 0.397, 0.989)
Se (0.053, 0.947, 0.250)
Se (0.947, 0.053, 0.750)
Au (0.447, 0.553, 0.250)
Au (0.553, 0.447, 0.750)
Cs (0.238, 0.762, 0.750)
Cs (0.762, 0.238, 0.250)

Calculated values
* VASP energy: -25.33 eV per formula unit
* crystal system: orthorhombic

---

Entry 2:
This record from the Open Quantum Materials Database describes a relaxed structure of CsTe3OsAu. The functional is PBE-GGA.

Lattice parameters (Å, degrees): 8.835 8.835 10.786 90.00 90.00 26.75
Fractional positions:
Te (0.103, 0.103, 0.986)
Te (0.897, 0.897, 0.014)
Te (0.556, 0.556, 0.250)
Te (0.103, 0.103, 0.514)
Te (0.897, 0.897, 0.486)
Te (0.444, 0.444, 0.750)
Cs (0.261, 0.261, 0.250)
Cs (0.739, 0.739, 0.750)
Au (0.061, 0.061, 0.750)
Au (0.939, 0.939, 0.250)
Os (0.500, 0.500, 0.500)
Os (0.500, 0.500, 0.000)

Calculated values
* VASP energy: -25.19 eV per formula unit
* crystal system: orthorhombic

---

Entry 3:
This record from the Open Quantum Materials Database describes a relaxed structure of CsTe4OsAu3. The functional is PBE-GGA.

Lattice parameters (Å, degrees): 6.905 6.905 6.905 90.00 90.00 90.00
Fractional positions:
Te (0.290, 0.290, 0.290)
Te (0.290, 0.710, 0.710)
Te (0.710, 0.710, 0.290)
Te (0.710, 0.290, 0.710)
Cs (0.000, 0.000, 0.000)
Os (0.500, 0.500, 0.500)
Au (0.500, 0.000, 0.500)
Au (0.000, 0.500, 0.500)
Au (0.500, 0.500, 0.000)

Calculated values
* VASP energy: -33.91 eV per formula unit
* crystal system: cubic

---

Entry 4:
This record from the Open Quantum Materials Database describes a relaxed structure of Cs3RbP2Au2. The functional is PBE-GGA.

Lattice parameters (Å, degrees): 6.645 6.849 6.652 90.00 109.75 90.00
Fractional positions:
Cs (0.681, 0.500, 0.026)
Cs (0.319, 0.000, 0.977)
Cs (0.024, 0.500, 0.680)
P (0.274, 0.500, 0.276)
P (0.728, 0.000, 0.717)
Rb (0.979, 0.000, 0.324)
Au (0.497, 0.249, 0.500)
Au (0.497, 0.751, 0.500)

Calculated values
* VASP energy: -24.46 eV per formula unit
* crystal system: monoclinic

---

Entry 5:
This record from the Open Quantum Materials Database describes a relaxed structure of CsRbP2Au4. The functional is PBE-GGA.

Lattice parameters (Å, degrees): 8.315 8.315 8.315 135.80 135.80 64.30
Fractional positions:
Rb (0.250, 0.750, 0.500)
P (0.500, 0.500, 0.000)
P (0.750, 0.250, 0.500)
Au (0.621, 0.359, 0.232)
Au (0.126, 0.389, 0.768)
Au (0.641, 0.874, 0.262)
Au (0.611, 0.379, 0.738)
Cs (0.000, 0.000, 0.000)

Calculated values
* VASP energy: -29.25 eV per formula unit
* crystal system: tetragonal

---

Entry 6:
This record from the Open Quantum Materials Database describes a relaxed structure of CsRb2P2Au3. The functional is PBE-GGA.

Lattice parameters (Å, degrees): 7.705 7.705 7.705 50.44 50.44 50.44
Fractional positions:
P (0.741, 0.741, 0.741)
P (0.259, 0.259, 0.259)
Rb (0.911, 0.911, 0.911)
Rb (0.089, 0.089, 0.089)
Au (0.000, 0.500, 0.500)
Au (0.500, 0.500, 0.000)
Au (0.500, 0.000, 0.500)
Cs (0.500, 0.500, 0.500)

Calculated values
* VASP energy: -27.46 eV per formula unit
* crystal system: trigonal

---

Entry 7:
This record from the Open Quantum Materials Database describes a relaxed structure of Cs2PAuS4. The functional is PBE-GGA.

Lattice parameters (Å, degrees): 7.042 20.430 7.170 90.00 90.00 90.00
Fractional positions:
S (0.293, 0.014, 0.750)
S (0.118, 0.363, 0.491)
S (0.530, 0.160, 0.750)
S (0.882, 0.863, 0.009)
S (0.882, 0.637, 0.509)
S (0.470, 0.660, 0.750)
S (0.882, 0.637, 0.991)
S (0.118, 0.137, 0.991)
S (0.707, 0.986, 0.250)
S (0.118, 0.137, 0.509)
S (0.470, 0.840, 0.250)
S (0.707, 0.514, 0.750)
S (0.293, 0.486, 0.250)
S (0.530, 0.340, 0.250)
S (0.882, 0.863, 0.491)
S (0.118, 0.363, 0.009)
Cs (0.209, 0.515, 0.750)
Cs (0.791, 0.015, 0.750)
Cs (0.400, 0.834, 0.750)
Cs (0.209, 0.985, 0.250)
Cs (0.600, 0.166, 0.250)
Cs (0.400, 0.666, 0.250)
Cs (0.600, 0.334, 0.750)
Cs (0.791, 0.485, 0.250)
P (0.277, 0.114, 0.750)
P (0.723, 0.614, 0.750)
P (0.277, 0.386, 0.250)
P (0.723, 0.886, 0.250)
Au (0.114, 0.250, 0.000)
Au (0.114, 0.250, 0.500)
Au (0.886, 0.750, 0.000)
Au (0.886, 0.750, 0.500)

Calculated values
* VASP energy: -33.32 eV per formula unit
* crystal system: orthorhombic

---

Entry 8:
This record from the Open Quantum Materials Database describes a relaxed structure of CsPAuSe2S. The functional is PBE-GGA.

Lattice parameters (Å, degrees): 7.654 7.654 8.349 108.74 108.74 58.77
Fractional positions:
P (0.971, 0.971, 0.352)
P (0.029, 0.029, 0.648)
S (0.189, 0.189, 0.755)
S (0.811, 0.811, 0.245)
Au (0.237, 0.763, 0.000)
Au (0.763, 0.237, 0.000)
Se (0.303, 0.805, 0.312)
Se (0.195, 0.697, 0.688)
Se (0.697, 0.195, 0.688)
Se (0.805, 0.303, 0.312)
Cs (0.709, 0.709, 0.740)
Cs (0.291, 0.291, 0.260)

Calculated values
* VASP energy: -23.94 eV per formula unit
* crystal system: monoclinic